A plane-wave DFT calculation with PBE+U was carried out for crystalline NaCo3O6 at its relaxed geometry.

Cell lengths 8.7331, 2.8345, 8.7784 Å; angles 90.00, 112.42, 90.00 degrees
Closest atoms and distances in Å follow each position.
Positions (direct):
1 Na 0.1125 0.2500 0.3743  6 O 2.39-2.58
2 Na 0.8875 0.7500 0.6257  6 O 2.39-2.58
3 Co 0.1554 0.2500 0.0455  6 O 1.83-1.92
4 Co 0.2706 0.7500 0.7531  5 O 1.87-1.94
5 Co 0.4691 0.7500 0.3486  6 O 1.85-1.93
6 Co 0.5309 0.2500 0.6514  6 O 1.85-1.93
7 Co 0.7294 0.2500 0.2469  5 O 1.87-1.94
8 Co 0.8446 0.7500 0.9545  6 O 1.83-1.92
9 O 0.0579 0.7500 0.1264  3 Co 1.90-1.92
10 O 0.1276 0.2500 0.6517  2 Co 1.87
11 O 0.2295 0.7500 0.9555  3 Co 1.85-1.94
12 O 0.3309 0.2500 0.2432  3 Co 1.83-1.86
13 O 0.3903 0.7500 0.5256  3 Co 1.92-1.93
14 O 0.4226 0.2500 0.7964  3 Co 1.85-1.88
15 O 0.5774 0.7500 0.2036  3 Co 1.85-1.88
16 O 0.6097 0.2500 0.4744  3 Co 1.92-1.93
17 O 0.6691 0.7500 0.7568  3 Co 1.83-1.86
18 O 0.7705 0.2500 0.0445  3 Co 1.85-1.94
19 O 0.8724 0.7500 0.3483  2 Co 1.87
20 O 0.9421 0.2500 0.8736  3 Co 1.90-1.92

Results
Space-group type: P2_1/m
Energy above the lowest structure with this stoichiometry in eV per atom: 0.0834
Density in Mg/m³: 4.9